1.
## HfNb2Co (PBE-GGA)

Data for a geometry-optimized HfNb2Co structure.

Properties
- Magnetic moment: 0.0 μB/f.u.
- Crystal system: tetragonal
- Formation energy from the elements: 266 meV/atom
- VASP energy: -0.332 hartree per atom
- SG: I-42d, No. 122
- Energy above the lowest structure with this stoichiometry: 36.6 kJ/mol of atoms

a b c (Å): 7.4471 7.4471 5.8824
angles (deg): 50.73 50.73 90.00
Positions (direct):
Nb: 0.8750 0.8273 0.7500
Nb: 0.3750 0.4227 0.7500
Nb: 0.5773 0.1250 0.2500
Nb: 0.1727 0.6250 0.2500
Hf: 0.7500 0.2500 0.5000
Hf: 0.0000 0.0000 0.0000
Co: 0.2500 0.7500 0.5000
Co: 0.5000 0.5000 0.0000

---

2.
## HfNb2Co (PBE-GGA)

Data for a geometry-optimized HfNb2Co structure.

Properties
- Magnetic moment: 0.0 μB/f.u.
- Crystal system: monoclinic
- Formation energy from the elements: -113 meV/atom
- VASP energy: -0.346 hartree per atom
- SG: P2_1/m, No. 11
- Energy above the lowest structure with this stoichiometry: 0.0 kJ/mol of atoms

a b c (Å): 3.1445 5.3623 8.7645
angles (deg): 90.00 90.00 109.06
Positions (direct):
Hf: 0.0793 0.1617 0.7500
Hf: 0.9207 0.8383 0.2500
Co: 0.7923 0.5740 0.7500
Co: 0.2077 0.4260 0.2500
Nb: 0.6186 0.2669 0.4523
Nb: 0.6186 0.2669 0.0477
Nb: 0.3814 0.7331 0.9523
Nb: 0.3814 0.7331 0.5477

---

3.
## HfNbCo10 (PBE-GGA)

Data for a geometry-optimized HfNbCo10 structure.

Properties
- Magnetic moment: 12.3 μB/f.u.
- Crystal system: orthorhombic
- Formation energy from the elements: -26 meV/atom
- VASP energy: -0.280 hartree per atom
- SG: Pmmm, No. 47

a b c (Å): 3.9762 4.6882 8.1219
angles (deg): 90.00 90.00 90.00
Last column: magnetic moment on the atom in μB.
Positions (direct):
Co: 0.5000 0.0000 0.5000  1.46
Co: 0.0000 0.0000 0.3299  1.19
Co: 0.5000 0.7517 0.2474  1.48
Co: 0.5000 0.5000 0.0000  1.50
Co: 0.0000 0.5000 0.8372  1.19
Co: 0.5000 0.7517 0.7526  1.48
Co: 0.0000 0.5000 0.1628  1.19
Co: 0.5000 0.2483 0.7526  1.48
Co: 0.5000 0.2483 0.2474  1.48
Co: 0.0000 0.0000 0.6701  1.19
Nb: 0.0000 0.0000 0.0000  -0.61
Hf: 0.0000 0.5000 0.5000  -0.34

---

4.
## Hf3NbCo (PBE-GGA)

Data for a geometry-optimized Hf3NbCo structure.

Properties
- Magnetic moment: 0.0 μB/f.u.
- Crystal system: cubic
- Formation energy from the elements: 376 meV/atom
- VASP energy: -0.332 hartree per atom
- SG: Pm-3m, No. 221
- Energy above the lowest structure with this stoichiometry: 0.0 kJ/mol of atoms

a b c (Å): 4.7389 4.7389 4.7389
angles (deg): 90.00 90.00 90.00
Positions (direct):
Hf: 0.5000 0.0000 0.0000
Hf: 0.0000 0.0000 0.5000
Hf: 0.0000 0.5000 0.0000
Nb: 0.5000 0.5000 0.5000
Co: 0.0000 0.0000 0.0000

---

5.
## HfNbCo2Rh (PBE-GGA)

Data for a geometry-optimized HfNbCo2Rh structure.

Properties
- Magnetic moment: 3.1 μB/f.u.
- Crystal system: tetragonal
- Formation energy from the elements: 1161 meV/atom
- VASP energy: -0.263 hartree per atom
- SG: P4/mmm, No. 123

a b c (Å): 4.4382 4.7033 4.4382
angles (deg): 90.00 90.00 90.00
Last column: magnetic moment on the atom in μB.
Positions (direct):
Co: 0.0000 0.0000 0.5000  0.92
Co: 0.5000 0.0000 0.0000  0.93
Hf: 0.0000 0.0000 0.0000  -0.16
Rh: 0.0000 0.5000 0.0000  0.13
Nb: 0.5000 0.5000 0.5000  1.00

---

6.
## HfNbCoS2 (PBE-GGA)

Data for a geometry-optimized HfNbCoS2 structure.

Properties
- Magnetic moment: 0.0 μB/f.u.
- Crystal system: tetragonal
- Uncorrected formation energy: 135 kJ/mol of formula units
- VASP energy: -0.250 hartree per atom
- SG: P4/mmm, No. 123
- Energy above the lowest structure with this stoichiometry: 0.0 kJ/mol of atoms

a b c (Å): 4.6577 4.5177 4.6577
angles (deg): 90.00 90.00 90.00
Positions (direct):
Hf: 0.5000 0.5000 0.5000
S: 0.0000 0.0000 0.5000
S: 0.5000 0.0000 0.0000
Nb: 0.0000 0.0000 0.0000
Co: 0.0000 0.5000 0.0000

---

7.
## HfNbCoS2 (PBE-GGA)

Data for a geometry-optimized HfNbCoS2 structure.

Properties
- Magnetic moment: 0.0 μB/f.u.
- Crystal system: tetragonal
- Uncorrected formation energy: 208 kJ/mol of formula units
- VASP energy: -0.244 hartree per atom
- SG: P4/mmm, No. 123
- Energy above the lowest structure with this stoichiometry: 14.6 kJ/mol of atoms

a b c (Å): 4.3952 4.3952 4.5513
angles (deg): 90.00 90.00 90.00
Positions (direct):
S: 0.5000 0.0000 0.0000
S: 0.0000 0.5000 0.0000
Nb: 0.5000 0.5000 0.5000
Co: 0.0000 0.0000 0.0000
Hf: 0.0000 0.0000 0.5000

---

8.
## HfNbCo2Se (PBE-GGA)

Data for a geometry-optimized HfNbCo2Se structure.

Properties
- Magnetic moment: 0.0 μB/f.u.
- Crystal system: tetragonal
- Uncorrected formation energy: 582 kJ/mol of formula units
- VASP energy: -0.233 hartree per atom
- SG: P4/mmm, No. 123

a b c (Å): 4.4012 5.3175 4.4012
angles (deg): 90.00 90.00 90.00
Positions (direct):
Co: 0.5000 0.0000 0.0000
Co: 0.0000 0.0000 0.5000
Se: 0.5000 0.5000 0.5000
Hf: 0.0000 0.5000 0.0000
Nb: 0.0000 0.0000 0.0000

---

9.
## HfNbCoSn2 (PBE-GGA)

Data for a geometry-optimized HfNbCoSn2 structure.

Properties
- Magnetic moment: 1.3 μB/f.u.
- Crystal system: tetragonal
- Formation energy from the elements: 1469 meV/atom
- VASP energy: -0.204 hartree per atom
- SG: P4/mmm, No. 123

a b c (Å): 5.4373 4.9366 5.4373
angles (deg): 90.00 90.00 90.00
Last column: magnetic moment on the atom in μB.
Positions (direct):
Hf: 0.0000 0.0000 0.0000  0.03
Co: 0.5000 0.5000 0.5000  2.05
Sn: 0.5000 0.0000 0.0000  0.01
Sn: 0.0000 0.0000 0.5000  0.00
Nb: 0.0000 0.5000 0.0000  -0.57

---

10.
## HfNb2CoTc (PBE-GGA)

Data for a geometry-optimized HfNb2CoTc structure.

Properties
- Magnetic moment: 0.0 μB/f.u.
- Crystal system: tetragonal
- Formation energy from the elements: 1276 meV/atom
- VASP energy: -0.303 hartree per atom
- SG: P4/mmm, No. 123

a b c (Å): 4.7262 4.9469 4.7262
angles (deg): 90.00 90.00 90.00
Positions (direct):
Co: 0.5000 0.5000 0.5000
Tc: 0.0000 0.0000 0.0000
Nb: 0.5000 0.0000 0.0000
Nb: 0.0000 0.0000 0.5000
Hf: 0.0000 0.5000 0.0000

---

11.
## HfNbCo2Tc (PBE-GGA)

Data for a geometry-optimized HfNbCo2Tc structure.

Properties
- Magnetic moment: 1.0 μB/f.u.
- Crystal system: tetragonal
- Formation energy from the elements: 1142 meV/atom
- VASP energy: -0.286 hartree per atom
- SG: P4/mmm, No. 123

a b c (Å): 4.3689 4.3689 4.8766
angles (deg): 90.00 90.00 90.00
Last column: magnetic moment on the atom in μB.
Positions (direct):
Co: 0.0000 0.5000 0.0000  0.38
Co: 0.5000 0.0000 0.0000  0.38
Hf: 0.0000 0.0000 0.5000  0.00
Nb: 0.5000 0.5000 0.5000  0.19
Tc: 0.0000 0.0000 0.0000  -0.01

---

12.
## HfTiNbCo (PBE-GGA)

Data for a geometry-optimized HfTiNbCo structure.

Properties
- Magnetic moment: 0.6 μB/f.u.
- Crystal system: cubic
- Formation energy from the elements: -31 meV/atom
- VASP energy: -0.323 hartree per atom
- SG: F-43m, No. 216

a b c (Å): 4.5252 4.5252 4.5252
angles (deg): 60.00 60.00 60.00
Last column: magnetic moment on the atom in μB.
Positions (direct):
Nb: 0.5000 0.5000 0.5000  0.26
Hf: 0.7500 0.7500 0.7500  0.00
Co: 0.0000 0.0000 0.0000  0.32
Ti: 0.2500 0.2500 0.2500  0.01

---

13.
## Hf2NbVCo (PBE-GGA)

Data for a geometry-optimized Hf2NbVCo structure.

Properties
- Magnetic moment: 0.0 μB/f.u.
- Crystal system: tetragonal
- Formation energy from the elements: 504 meV/atom
- VASP energy: -0.321 hartree per atom
- SG: P4/mmm, No. 123

a b c (Å): 4.7943 4.2228 4.7943
angles (deg): 90.00 90.00 90.00
Positions (direct):
V: 0.0000 0.5000 0.0000
Hf: 0.5000 0.0000 0.0000
Hf: 0.0000 0.0000 0.5000
Nb: 0.5000 0.5000 0.5000
Co: 0.0000 0.0000 0.0000

---

14.
## HfNbZnCo (PBE-GGA)

Data for a geometry-optimized HfNbZnCo structure.

Properties
- Magnetic moment: 1.8 μB/f.u.
- Crystal system: cubic
- Formation energy from the elements: -78 meV/atom
- VASP energy: -0.264 hartree per atom
- SG: F-43m, No. 216

a b c (Å): 4.5140 4.5140 4.5140
angles (deg): 60.00 60.00 60.00
Last column: magnetic moment on the atom in μB.
Positions (direct):
Hf: 0.7500 0.7500 0.7500  0.06
Co: 0.5000 0.5000 0.5000  1.41
Nb: 0.2500 0.2500 0.2500  0.25
Zn: 0.0000 0.0000 0.0000  0.04

---

15.
## HfZr2NbCo (PBE-GGA)

Data for a geometry-optimized HfZr2NbCo structure.

Properties
- Magnetic moment: 2.1 μB/f.u.
- Crystal system: tetragonal
- Formation energy from the elements: 1268 meV/atom
- VASP energy: -0.278 hartree per atom
- SG: P4/mmm, No. 123

a b c (Å): 5.1509 5.1509 4.3189
angles (deg): 90.00 90.00 90.00
Last column: magnetic moment on the atom in μB.
Positions (direct):
Zr: 0.0000 0.5000 0.0000  0.07
Zr: 0.5000 0.0000 0.0000  0.07
Co: 0.0000 0.0000 0.5000  0.53
Nb: 0.5000 0.5000 0.5000  1.19
Hf: 0.0000 0.0000 0.0000  -0.06

---

16.
## NdHfCo4 (PBE-GGA)

Data for a geometry-optimized NdHfCo4 structure.

Properties
- Magnetic moment: 3.0 μB/f.u.
- Crystal system: cubic
- Formation energy from the elements: -111 meV/atom
- VASP energy: -0.268 hartree per atom
- SG: F-43m, No. 216

a b c (Å): 5.0160 5.0160 5.0160
angles (deg): 60.00 60.00 60.00
Last column: magnetic moment on the atom in μB.
Positions (direct):
Co: 0.6263 0.6263 0.1210  0.92
Co: 0.6263 0.6263 0.6263  0.92
Co: 0.6263 0.1210 0.6263  0.92
Co: 0.1210 0.6263 0.6263  0.92
Nd: 0.2500 0.2500 0.2500  -0.16
Hf: 0.0000 0.0000 0.0000  -0.31

---

17.
## NdHfCo2 (PBE-GGA)

Data for a geometry-optimized NdHfCo2 structure.

Properties
- Magnetic moment: 0.8 μB/f.u.
- Crystal system: tetragonal
- Formation energy from the elements: -166 meV/atom
- VASP energy: -0.272 hartree per atom
- SG: P4/mmm, No. 123

a b c (Å): 3.2296 3.2296 6.8790
angles (deg): 90.00 90.00 90.00
Last column: magnetic moment on the atom in μB.
Positions (direct):
Nd: 0.5000 0.5000 0.5000  -0.06
Co: 0.0000 0.0000 0.7935  0.53
Co: 0.0000 0.0000 0.2065  0.53
Hf: 0.5000 0.5000 0.0000  -0.12

---

18.
## Hf2CoNi (PBE-GGA)

Data for a geometry-optimized Hf2CoNi structure.

Properties
- Magnetic moment: 0.0 μB/f.u.
- Crystal system: monoclinic
- Formation energy from the elements: -475 meV/atom
- VASP energy: -0.319 hartree per atom
- SG: P2_1/m, No. 11

a b c (Å): 4.0921 5.0986 6.5014
angles (deg): 108.60 90.00 90.00
Positions (direct):
Hf: 0.2500 0.7799 0.0726
Hf: 0.2500 0.7836 0.5682
Hf: 0.7500 0.2164 0.4318
Hf: 0.7500 0.2201 0.9274
Co: 0.7500 0.6714 0.2905
Co: 0.2500 0.3286 0.7095
Ni: 0.7500 0.6682 0.7937
Ni: 0.2500 0.3318 0.2063

---

19.
## Hf6CoNi3 (PBE-GGA)

Data for a geometry-optimized Hf6CoNi3 structure.

Properties
- Magnetic moment: 0.0 μB/f.u.
- Crystal system: monoclinic
- Formation energy from the elements: -150 meV/atom
- VASP energy: -0.315 hartree per atom
- SG: P2_1/c, No. 14

a b c (Å): 5.9080 6.8490 9.1536
angles (deg): 90.00 89.64 90.00
Positions (direct):
Hf: 0.8312 0.9463 0.2485
Hf: 0.6500 0.1679 0.9272
Hf: 0.8553 0.6769 0.9298
Hf: 0.1688 0.0537 0.7515
Hf: 0.6688 0.4463 0.2515
Hf: 0.3553 0.8231 0.4298
Hf: 0.1447 0.3231 0.0702
Hf: 0.8500 0.6679 0.5728
Hf: 0.1500 0.3321 0.4272
Hf: 0.3500 0.8321 0.0728
Hf: 0.6447 0.1769 0.5702
Hf: 0.3312 0.5537 0.7485
Ni: 0.9268 0.3765 0.7507
Ni: 0.0000 0.0000 0.5000
Ni: 0.4268 0.1235 0.2507
Ni: 0.5732 0.8765 0.7493
Ni: 0.0732 0.6235 0.2493
Ni: 0.5000 0.5000 0.0000
Co: 0.0000 0.0000 0.0000
Co: 0.5000 0.5000 0.5000

---

20.
## Hf4CoNi (PBE-GGA)

Data for a geometry-optimized Hf4CoNi structure.

Properties
- Magnetic moment: 0.0 μB/f.u.
- Crystal system: orthorhombic
- Formation energy from the elements: 111 meV/atom
- VASP energy: -0.319 hartree per atom
- SG: Imm2, No. 44
- Energy above the lowest structure with this stoichiometry: 41.3 kJ/mol of atoms

a b c (Å): 6.9878 6.9878 6.9878
angles (deg): 103.51 103.49 122.22
Positions (direct):
Hf: 0.2347 0.0032 0.2315
Hf: 0.7525 0.0210 0.2685
Hf: 0.7525 0.4840 0.7315
Hf: 0.6961 0.4969 0.1992
Hf: 0.2461 0.5469 0.3008
Hf: 0.7718 0.0032 0.7685
Hf: 0.2976 0.4969 0.8008
Hf: 0.2461 0.9453 0.6992
Co: 0.5329 0.0329 0.5000
Co: 0.7840 0.7840 0.0000
Ni: 0.2184 0.2184 0.0000
Ni: 0.9675 0.4675 0.5000

---

21.
## Hf2CoNi (PBE-GGA)

Data for a geometry-optimized Hf2CoNi structure.

Properties
- Magnetic moment: 0.8 μB/f.u.
- Crystal system: monoclinic
- Formation energy from the elements: -21 meV/atom
- VASP energy: -0.302 hartree per atom
- SG: Cm, No. 8

a b c (Å): 3.8005 3.8088 6.1303
angles (deg): 71.86 71.94 60.07
Last column: magnetic moment on the atom in μB.
Positions (direct):
Ni: 0.4704 0.2336 0.8257  0.27
Hf: 0.7082 0.4705 0.1130  -0.01
Hf: 0.8977 0.6617 0.5428  -0.02
Co: 0.1340 0.8962 0.8359  0.59

---

22.
## Hf4CoNi (PBE-GGA)

Data for a geometry-optimized Hf4CoNi structure.

Properties
- Magnetic moment: 0.0 μB/f.u.
- Crystal system: tetragonal
- Formation energy from the elements: -317 meV/atom
- VASP energy: -0.334 hartree per atom
- SG: I422, No. 97
- Energy above the lowest structure with this stoichiometry: 0.0 kJ/mol of atoms

a b c (Å): 5.2216 5.2218 5.2217
angles (deg): 105.30 105.30 118.18
Positions (direct):
Ni: 0.5000 0.5000 0.0000
Hf: 0.5810 0.0810 0.1621
Hf: 0.9190 0.4190 0.8379
Hf: 0.0810 0.9190 0.5000
Hf: 0.4190 0.5810 0.5000
Co: 0.0000 0.0000 0.0000

---

23.
## Hf2Co2Ni (PBE-GGA)

Data for a geometry-optimized Hf2Co2Ni structure.

Properties
- Magnetic moment: 0.0 μB/f.u.
- Crystal system: tetragonal
- Formation energy from the elements: -334 meV/atom
- VASP energy: -0.306 hartree per atom
- SG: P4/mbm, No. 127

a b c (Å): 6.4752 6.4752 3.5609
angles (deg): 90.00 90.00 90.00
Positions (direct):
Hf: 0.8216 0.3216 0.5000
Hf: 0.1784 0.6784 0.5000
Hf: 0.3216 0.1784 0.5000
Hf: 0.6784 0.8216 0.5000
Co: 0.8736 0.6264 0.0000
Co: 0.6264 0.1264 0.0000
Co: 0.1264 0.3736 0.0000
Co: 0.3736 0.8736 0.0000
Ni: 0.5000 0.5000 0.0000
Ni: 0.0000 0.0000 0.0000

---

24.
## Hf2CoNi (PBE-GGA)

Data for a geometry-optimized Hf2CoNi structure.

Properties
- Magnetic moment: 0.0 μB/f.u.
- Crystal system: tetragonal
- Formation energy from the elements: 87 meV/atom
- VASP energy: -0.298 hartree per atom
- SG: I-42d, No. 122

a b c (Å): 6.8743 6.8743 5.6286
angles (deg): 52.36 52.36 90.00
Positions (direct):
Hf: 0.3750 0.3818 0.7500
Hf: 0.8750 0.8682 0.7500
Hf: 0.1318 0.6250 0.2500
Hf: 0.6182 0.1250 0.2500
Co: 0.2500 0.7500 0.5000
Co: 0.5000 0.5000 0.0000
Ni: 0.0000 0.0000 0.0000
Ni: 0.7500 0.2500 0.5000

---

25.
## HfCo2Ni2 (PBE-GGA)

Data for a geometry-optimized HfCo2Ni2 structure.

Properties
- Magnetic moment: 3.1 μB/f.u.
- Crystal system: tetragonal
- Formation energy from the elements: -33 meV/atom
- VASP energy: -0.264 hartree per atom
- SG: P4/mbm, No. 127
- Energy above the lowest structure with this stoichiometry: 7.5 kJ/mol of atoms

a b c (Å): 6.8355 6.8355 2.7464
angles (deg): 90.00 90.00 90.00
Last column: magnetic moment on the atom in μB.
Positions (direct):
Ni: 0.6249 0.1249 0.0000  0.49
Ni: 0.1249 0.3751 0.0000  0.48
Ni: 0.8751 0.6249 0.0000  0.48
Ni: 0.3751 0.8751 0.0000  0.49
Hf: 0.5000 0.5000 0.0000  -0.25
Hf: 0.0000 0.0000 0.0000  -0.25
Co: 0.1700 0.6700 0.5000  1.26
Co: 0.6700 0.8300 0.5000  1.25
Co: 0.8300 0.3300 0.5000  1.26
Co: 0.3300 0.1700 0.5000  1.25

---

26.
## Hf2CoNi (PBE-GGA)

Data for a geometry-optimized Hf2CoNi structure.

Properties
- Magnetic moment: 0.2 μB/f.u.
- Crystal system: tetragonal
- Formation energy from the elements: -408 meV/atom
- VASP energy: -0.316 hartree per atom
- SG: P4/mmm, No. 123

a b c (Å): 3.1860 4.4591 4.4591
angles (deg): 90.00 90.00 90.00
Last column: magnetic moment on the atom in μB.
Positions (direct):
Hf: 0.0000 0.0000 0.5000  -0.02
Hf: 0.0000 0.5000 0.0000  -0.02
Co: 0.5000 0.5000 0.5000  0.27
Ni: 0.5000 0.0000 0.0000  -0.01